First-principles (PBE) data for Ag6GeAu3 after structural relaxation, as listed in Alexandria.

Results
Crystal system: monoclinic
Size of the total moment in μB per formula unit: 0.00
DFT total energy in eV/atom: -3.110
Symmetry: P2_1/m, No. 11
DFT formation energy in eV per atom: 0.0453
Fermi-level density of states in states/eV/cell: 5.67

```
Ag6GeAu3
1.0
10.755 0.000 0.000
0.000 2.894 0.000
-1.857 0.000 11.732
Ag Ge Au
12 2 6
Direct
0.009 0.250 0.191
0.158 0.750 0.375
0.234 0.250 0.792
0.283 0.250 0.207
0.303 0.250 0.566
0.377 0.750 0.010
0.623 0.250 0.990
0.697 0.750 0.434
0.717 0.750 0.793
0.766 0.750 0.208
0.842 0.250 0.625
0.991 0.750 0.809
0.461 0.750 0.783
0.539 0.250 0.217
0.076 0.750 0.597
0.130 0.250 0.996
0.431 0.750 0.397
0.569 0.250 0.603
0.870 0.750 0.004
0.924 0.250 0.403
```



First-principles (PBE) data for AgGe2Au after structural relaxation, as listed in Alexandria.

Results
Crystal system: tetragonal
Size of the total moment in μB per formula unit: 0.00
DFT total energy in eV/atom: -3.676
Energy relative to the lowest polymorph listed for this composition in eV per atom: 0.025
Symmetry: P4/mmm, No. 123
DFT formation energy in eV per atom: 0.1653
Fermi-level density of states in states/eV/cell: 1.32

```
AgGe2Au
1.0
3.534 0.000 0.000
0.000 3.534 0.000
0.000 0.000 6.034
Ag Ge Au
1 2 1
Direct
0.000 0.000 0.000
0.500 0.500 0.259
0.500 0.500 0.741
0.000 0.000 0.500
```



First-principles (PBE) data for AgGeAu after structural relaxation, as listed in Alexandria.

Results
Crystal system: cubic
Size of the total moment in μB per formula unit: 0.00
DFT total energy in eV/atom: -3.461
Energy relative to the lowest polymorph listed for this composition in eV per atom: 0.068
Symmetry: F-43m, No. 216
DFT formation energy in eV per atom: 0.1213
Fermi-level density of states in states/eV/cell: 2.12

```
AgGeAu
1.0
0.000 3.112 3.112
3.112 0.000 3.112
3.112 3.112 0.000
Ag Ge Au
1 1 1
Direct
0.000 0.000 0.000
0.250 0.250 0.250
0.500 0.500 0.500
```



First-principles (PBE) data for Ag5GeAu2 after structural relaxation, as listed in Alexandria.

Results
Crystal system: orthorhombic
Size of the total moment in μB per formula unit: 0.00
DFT total energy in eV/atom: -3.162
Symmetry: Pbam, No. 55
DFT formation energy in eV per atom: 0.0166
Fermi-level density of states in states/eV/cell: 4.59

```
Ag5GeAu2
1.0
5.775 0.000 0.000
0.000 11.674 0.000
0.000 0.000 4.261
Ag Ge Au
10 2 4
Direct
0.000 0.000 0.000
0.035 0.252 0.000
0.218 0.869 0.500
0.282 0.369 0.500
0.465 0.752 0.000
0.500 0.500 0.000
0.535 0.248 0.000
0.718 0.631 0.500
0.782 0.131 0.500
0.965 0.748 0.000
0.000 0.500 0.000
0.500 0.000 0.000
0.221 0.619 0.500
0.279 0.119 0.500
0.721 0.881 0.500
0.779 0.381 0.500
```



First-principles (PBE) data for AgGe2Au after structural relaxation, as listed in Alexandria.

Results
Crystal system: cubic
Size of the total moment in μB per formula unit: 0.00
DFT total energy in eV/atom: -3.675
Energy relative to the lowest polymorph listed for this composition in eV per atom: 0.026
Symmetry: Fm-3m, No. 225
DFT formation energy in eV per atom: 0.1658
Fermi-level density of states in states/eV/cell: 1.27

```
AgGe2Au
1.0
0.000 3.351 3.351
3.351 0.000 3.351
3.351 3.351 0.000
Ag Ge Au
1 2 1
Direct
0.000 0.000 0.000
0.250 0.250 0.250
0.750 0.750 0.750
0.500 0.500 0.500
```



First-principles (PBE) data for Ag5GeAu6 after structural relaxation, as listed in Alexandria.

Results
Crystal system: orthorhombic
Size of the total moment in μB per formula unit: 0.00
DFT total energy in eV/atom: -3.218
Energy relative to the lowest polymorph listed for this composition in eV per atom: 0.000
Symmetry: Immm, No. 71
DFT formation energy in eV per atom: -0.0070
Fermi-level density of states in states/eV/cell: 3.51

```
Ag5GeAu6
1.0
-2.067 4.172 6.265
2.067 -4.172 6.265
2.067 4.172 -6.265
Ag Ge Au
5 1 6
Direct
0.000 0.000 0.000
0.165 0.665 0.500
0.331 0.331 0.000
0.669 0.669 0.000
0.835 0.335 0.500
0.500 0.000 0.500
0.085 0.833 0.252
0.253 0.500 0.753
0.419 0.167 0.252
0.581 0.833 0.748
0.747 0.500 0.247
0.915 0.167 0.748
```



First-principles (PBE) data for Ag2Ge2Au after structural relaxation, as listed in Alexandria.

Results
Crystal system: tetragonal
Size of the total moment in μB per formula unit: 0.00
DFT total energy in eV/atom: -3.417
Energy relative to the lowest polymorph listed for this composition in eV per atom: 0.105
Symmetry: P4/mbm, No. 127
DFT formation energy in eV per atom: 0.2255
Fermi-level density of states in states/eV/cell: 2.57

```
Ag2Ge2Au
1.0
7.464 0.000 0.000
0.000 7.464 0.000
0.000 0.000 3.446
Ag Ge Au
4 4 2
Direct
0.136 0.364 0.000
0.364 0.864 0.000
0.636 0.136 0.000
0.864 0.636 0.000
0.167 0.667 0.500
0.333 0.167 0.500
0.667 0.833 0.500
0.833 0.333 0.500
0.000 0.000 0.000
0.500 0.500 0.000
```



First-principles (PBE) data for Ag3GeAu after structural relaxation, as listed in Alexandria.

Results
Crystal system: cubic
Size of the total moment in μB per formula unit: 0.00
DFT total energy in eV/atom: -2.721
Energy relative to the lowest polymorph listed for this composition in eV per atom: 0.494
Symmetry: Pm-3m, No. 221
DFT formation energy in eV per atom: 0.5686
Fermi-level density of states in states/eV/cell: 2.90

```
Ag3GeAu
1.0
4.849 0.000 0.000
0.000 4.849 0.000
0.000 0.000 4.849
Ag Ge Au
3 1 1
Direct
0.000 0.000 0.500
0.000 0.500 0.000
0.500 0.000 0.000
0.000 0.000 0.000
0.500 0.500 0.500
```



First-principles (PBE) data for Ag8GeAu6 after structural relaxation, as listed in Alexandria.

Results
Crystal system: trigonal
Size of the total moment in μB per formula unit: 0.00
DFT total energy in eV/atom: -3.039
Symmetry: R-3, No. 148
DFT formation energy in eV per atom: 0.1000
Fermi-level density of states in states/eV/cell: 5.27

```
Ag8GeAu6
1.0
3.923 2.265 5.705
-3.923 2.265 5.705
0.000 -4.529 5.705
Ag Ge Au
8 1 6
Direct
0.019 0.389 0.731
0.173 0.173 0.173
0.269 0.981 0.611
0.389 0.731 0.019
0.611 0.269 0.981
0.731 0.019 0.389
0.827 0.827 0.827
0.981 0.611 0.269
0.500 0.500 0.500
0.137 0.768 0.442
0.232 0.558 0.863
0.442 0.137 0.768
0.558 0.863 0.232
0.768 0.442 0.137
0.863 0.232 0.558
```



First-principles (PBE) data for Ag3GeAu after structural relaxation, as listed in Alexandria.

Results
Crystal system: monoclinic
Size of the total moment in μB per formula unit: 0.00
DFT total energy in eV/atom: -3.215
Energy relative to the lowest polymorph listed for this composition in eV per atom: 0.000
Symmetry: C2/c, No. 15
DFT formation energy in eV per atom: 0.0751
Fermi-level density of states in states/eV/cell: 6.34

```
Ag3GeAu
1.0
5.990 -4.321 0.000
5.990 4.321 0.000
-3.379 0.000 7.195
Ag Ge Au
12 4 4
Direct
0.009 0.683 0.470
0.071 0.707 0.859
0.293 0.929 0.641
0.307 0.313 0.886
0.313 0.307 0.386
0.317 0.991 0.030
0.683 0.009 0.970
0.687 0.693 0.614
0.693 0.687 0.114
0.707 0.071 0.359
0.929 0.293 0.141
0.991 0.317 0.530
0.150 0.554 0.164
0.446 0.850 0.336
0.554 0.150 0.664
0.850 0.446 0.836
0.062 0.938 0.250
0.436 0.564 0.750
0.564 0.436 0.250
0.938 0.062 0.750
```



First-principles (PBE) data for Ag2Ge2Au after structural relaxation, as listed in Alexandria.

Results
Crystal system: tetragonal
Size of the total moment in μB per formula unit: 0.00
DFT total energy in eV/atom: -3.522
Energy relative to the lowest polymorph listed for this composition in eV per atom: 0.000
Symmetry: P4/mbm, No. 127
DFT formation energy in eV per atom: 0.1209
Fermi-level density of states in states/eV/cell: 3.22

```
Ag2Ge2Au
1.0
6.606 0.000 0.000
0.000 6.606 0.000
0.000 0.000 4.386
Ag Ge Au
4 4 2
Direct
0.171 0.329 0.000
0.329 0.829 0.000
0.671 0.171 0.000
0.829 0.671 0.000
0.135 0.635 0.500
0.365 0.135 0.500
0.635 0.865 0.500
0.865 0.365 0.500
0.000 0.000 0.500
0.500 0.500 0.500
```



First-principles (PBE) data for Ag3Ge5Au12 after structural relaxation, as listed in Alexandria.

Results
Crystal system: cubic
Size of the total moment in μB per formula unit: 0.00
DFT total energy in eV/atom: -3.384
Symmetry: Ia-3d, No. 230
DFT formation energy in eV per atom: 0.1643
Fermi-level density of states in states/eV/cell: 36.87

```
Ag3Ge5Au12
1.0
-7.686 7.686 7.686
7.686 -7.686 7.686
7.686 7.686 -7.686
Ag Ge Au
12 20 48
Direct
0.125 0.250 0.375
0.125 0.375 0.750
0.250 0.375 0.125
0.250 0.875 0.625
0.375 0.125 0.250
0.375 0.750 0.125
0.625 0.250 0.875
0.625 0.875 0.750
0.750 0.125 0.375
0.750 0.625 0.875
0.875 0.625 0.250
0.875 0.750 0.625
0.000 0.000 0.000
0.000 0.000 0.500
0.000 0.500 0.000
0.000 0.500 0.500
0.125 0.750 0.875
0.125 0.875 0.250
0.250 0.125 0.875
0.250 0.625 0.375
0.375 0.250 0.625
0.375 0.625 0.750
0.500 0.000 0.000
0.500 0.000 0.500
0.500 0.500 0.000
0.500 0.500 0.500
0.625 0.375 0.250
0.625 0.750 0.375
0.750 0.375 0.625
0.750 0.875 0.125
0.875 0.125 0.750
0.875 0.250 0.125
0.056 0.223 0.135
0.056 0.333 0.921
0.079 0.635 0.412
0.079 0.944 0.667
0.088 0.723 0.667
0.088 0.865 0.421
0.135 0.056 0.223
0.135 0.579 0.912
0.167 0.223 0.588
0.167 0.444 0.579
0.223 0.135 0.056
0.223 0.588 0.167
0.277 0.333 0.912
0.277 0.444 0.365
0.333 0.912 0.277
0.333 0.921 0.056
0.365 0.277 0.444
0.365 0.588 0.921
0.412 0.079 0.635
0.412 0.833 0.777
0.421 0.088 0.865
0.421 0.833 0.556
0.444 0.365 0.277
0.444 0.579 0.167
0.556 0.421 0.833
0.556 0.635 0.723
0.579 0.167 0.444
0.579 0.912 0.135
0.588 0.167 0.223
0.588 0.921 0.365
0.635 0.412 0.079
0.635 0.723 0.556
0.667 0.079 0.944
0.667 0.088 0.723
0.723 0.556 0.635
0.723 0.667 0.088
0.777 0.412 0.833
0.777 0.865 0.944
0.833 0.556 0.421
0.833 0.777 0.412
0.865 0.421 0.088
0.865 0.944 0.777
0.912 0.135 0.579
0.912 0.277 0.333
0.921 0.056 0.333
0.921 0.365 0.588
0.944 0.667 0.079
0.944 0.777 0.865
```